1.
The following is a DFT calculation (PBE) of crystalline Fe3SeCl at its relaxed geometry.

Properties
Its total DFT energy (no corrections) is -5.3850 eV per atom. For the excess energy over the best structure of this formula in the dataset, the calculation gives 74 meV per atom.

a = 4.3273 Å, b = 4.3273 Å, c = 4.3273 Å
α = 90.00°, β = 90.00°, γ = 90.00°
Closest atoms and distances in Å follow each position.
Positions (direct):
Fe 0.0000 0.0000 0.5000  2 Cl 2.16
Fe 0.0000 0.5000 0.0000  2 Cl 2.16
Fe 0.5000 0.0000 0.0000  2 Cl 2.16
Se 0.5000 0.5000 0.5000  12 Fe 3.06
Cl 0.0000 0.0000 0.0000  6 Fe 2.16



2.
The following is a DFT calculation (PBE) of crystalline FeSe2Cl at its relaxed geometry.

Properties
Its total DFT energy (no corrections) is -4.5593 eV per atom. For the excess energy over the best structure of this formula in the dataset, the calculation gives 0 meV per atom.

a = 4.8735 Å, b = 3.5976 Å, c = 5.0709 Å
α = 90.00°, β = 106.18°, γ = 90.00°
Closest atoms and distances in Å follow each position.
Positions (direct):
Fe 0.0000 0.0000 0.0000  2 Cl 2.44, 4 Se 2.51
Se 0.1526 0.5000 0.3547  1 Se 2.37, 2 Fe 2.51
Se 0.8474 0.5000 0.6453  1 Se 2.37, 2 Fe 2.51
Cl 0.5000 0.0000 0.0000  2 Fe 2.44



3.
The following is a DFT calculation (PBE) of crystalline FeSe2Cl at its relaxed geometry.

Properties
Its total DFT energy (no corrections) is -4.3027 eV per atom. For the excess energy over the best structure of this formula in the dataset, the calculation gives 257 meV per atom.

a = 6.9360 Å, b = 6.9360 Å, c = 6.9360 Å
α = 157.12°, β = 125.54°, γ = 59.83°
Closest atoms and distances in Å follow each position.
Positions (direct):
Fe 0.0000 0.0000 0.0000  4 Se 2.36
Se 0.1594 0.6594 0.5000  2 Fe 2.36
Se 0.8406 0.3406 0.5000  2 Fe 2.36
Cl 0.5000 0.5000 0.0000  2 Cl 2.75



4.
The following is a DFT calculation (PBE) of crystalline Fe2SeCl at its relaxed geometry.

Properties
Its total DFT energy (no corrections) is -5.7944 eV per atom. For the excess energy over the best structure of this formula in the dataset, the calculation gives 0 meV per atom.

a = 3.5442 Å, b = 3.5590 Å, c = 6.6987 Å
α = 90.00°, β = 90.36°, γ = 90.00°
Closest atoms and distances in Å follow each position.
Positions (direct):
Fe 0.0000 0.0000 0.0000  2 Se 2.44, 2 Cl 2.46, 4 Fe 2.51
Fe 0.5001 0.5000 0.0008  2 Se 2.44, 2 Cl 2.46, 4 Fe 2.51
Se 0.5030 0.0000 0.2502  4 Fe 2.44
Cl 0.9973 0.5000 0.7457  4 Fe 2.46



5.
The following is a DFT calculation (PBE) of crystalline FeSnSe2Cl at its relaxed geometry.

Properties
Its total DFT energy (no corrections) is -4.3448 eV per atom.

a = 4.6093 Å, b = 4.6093 Å, c = 5.7102 Å
α = 90.00°, β = 90.00°, γ = 90.00°
Closest atoms and distances in Å follow each position.
Positions (direct):
Fe 0.0000 0.0000 0.0000  4 Se 2.30
Sn 0.0000 0.0000 0.5000  2 Fe 2.86
Se 0.0000 0.5000 0.0000  2 Fe 2.30
Se 0.5000 0.0000 0.0000  2 Fe 2.30
Cl 0.5000 0.5000 0.5000  4 Sn 3.26



6.
The following is a DFT calculation (PBE) of crystalline FeW2SeCl at its relaxed geometry.

Properties
Its total DFT energy (no corrections) is -6.3933 eV per atom.

a = 4.6398 Å, b = 4.6398 Å, c = 4.4089 Å
α = 90.00°, β = 90.00°, γ = 90.00°
Closest atoms and distances in Å follow each position.
Positions (direct):
Fe 0.0000 0.0000 0.0000  2 Se 2.20, 4 W 2.32
W 0.0000 0.5000 0.0000  2 Fe 2.32
W 0.5000 0.0000 0.0000  2 Fe 2.32
Se 0.0000 0.0000 0.5000  2 Fe 2.20
Cl 0.5000 0.5000 0.5000  8 W 3.20, 4 Se 3.28



7.
The following is a DFT calculation (PBE) of crystalline FeSiCl2 at its relaxed geometry.

Properties
Its total DFT energy (no corrections) is -4.1224 eV per atom. For the excess energy over the best structure of this formula in the dataset, the calculation gives 606 meV per atom.

a = 3.1631 Å, b = 4.0699 Å, c = 5.7475 Å
α = 90.00°, β = 90.88°, γ = 90.00°
Closest atoms and distances in Å follow each position.
Positions (direct):
Fe 0.0000 0.0000 0.0000  4 Cl 2.53
Si 0.0000 0.0000 0.5000  4 Cl 2.65, 2 Fe 2.87
Cl 0.2218 0.5000 0.2321  2 Fe 2.53, 2 Si 2.65
Cl 0.7782 0.5000 0.7679  2 Fe 2.53, 2 Si 2.65



8.
The following is a DFT calculation (PBE) of crystalline FeSiCl2 at its relaxed geometry.

Properties
Its total DFT energy (no corrections) is -3.7897 eV per atom. For the excess energy over the best structure of this formula in the dataset, the calculation gives 939 meV per atom.

a = 4.6610 Å, b = 4.6610 Å, c = 4.6610 Å
α = 60.00°, β = 60.00°, γ = 60.00°
Closest atoms and distances in Å follow each position.
Positions (direct):
Fe 0.0000 0.0000 0.0000  4 Cl 2.85, 4 Si 2.85
Si 0.7500 0.7500 0.7500  4 Cl 2.85, 4 Fe 2.85
Cl 0.2500 0.2500 0.2500  4 Cl 2.85, 4 Fe 2.85
Cl 0.5000 0.5000 0.5000  4 Cl 2.85, 4 Si 2.85



Number 1: Fermi-level density of states 4.43 states/eV per cell. Number 2: Fermi-level density of states 3.86 states/eV per cell. Number 3: Fermi-level density of states 1.73 states/eV per cell. Number 4: Fermi-level density of states 1.02 states/eV per cell. Number 5: Fermi-level density of states 2.57 states/eV per cell. Number 6: Fermi-level density of states 6.15 states/eV per cell. Number 7: Fermi-level density of states 2.67 states/eV per cell. Number 8: Fermi-level density of states 2.06 states/eV per cell.